The following is a DFT calculation (PBE) of a relaxed structure of P3Ru.

Unit cell a=5.7732 b=3.5459 c=7.0892 alpha=90.00 beta=114.28 gamma=90.00
Last column: nearest neighbours and their distance in Å.
Positions (direct):
Ru 0.7113 0.0000 0.5636  7 P 2.30-2.54
Ru 0.7113 0.5000 0.0636  7 P 2.30-2.54
P 0.5113 0.0000 0.8224  1 P 2.23, 2 Ru 2.40
P 0.8957 0.5000 0.8316  2 P 2.24, 3 Ru 2.30-2.49
P 0.5113 0.5000 0.3224  1 P 2.23, 2 Ru 2.40
P 0.8957 0.0000 0.3316  2 P 2.24, 3 Ru 2.30-2.49
P 0.1426 0.0000 0.8540  3 P 2.23-2.24, 1 Ru 2.49
P 0.1426 0.5000 0.3540  3 P 2.23-2.24, 1 Ru 2.49

Calculated values
DFT formation energy ... -0.2 eV per formula unit
M_tot ... 0.00 μB/cell